{"formula": "Rb2PaCoO6", "functional": "GGA+U", "state": "optimized geometry", "energy_ev_per_atom": -6.459, "cell": [[5.825, 0.000, 0.000], [2.912, 5.044, 0.000], [2.912, 1.681, 4.753]], "species": ["O", "O", "O", "O", "O", "O", "Co", "Rb", "Rb", "Pa"], "frac_coords": [[0.081, 0.552, 0.286], [0.551, 0.080, 0.817], [0.081, 0.081, 0.286], [0.552, 0.081, 0.287], [0.080, 0.552, 0.816], [0.551, 0.552, 0.817], [0.316, 0.316, 0.052], [0.566, 0.566, 0.301], [0.066, 0.066, 0.802], [0.816, 0.816, 0.552]]}